1.
The following is a PBE calculation of a relaxed LaTb2Sm2 crystal, from the Alexandria database.

The structure belongs to space group C2/c (No. 15); the cell edges are 9.690, 8.149 and 9.428 Å and the angles 90.00°, 113.88° and 90.00°. Symmetry generates all atoms from La at (0.000, 0.215, 0.250), Tb at (0.166, 0.441, 0.974) and Sm at (0.113, 0.171, 0.650).

The value obtained for the density of states at the Fermi level is 7.29 states/eV/f.u. The value obtained for the density is 7.39 Mg/m³. Its crystal system is monoclinic. The calculation puts the total magnetic moment at 0.000 μB per atom.

=====

2.
The following is a PBE calculation of a relaxed LaTb2Sm2 crystal, from the Alexandria database.

The structure belongs to space group P4/mbm (No. 127); the cell edges are 9.532, 9.532 and 3.810 Å and the angles 90.00°, 90.00° and 90.00°. Symmetry generates all atoms from La at (0.000, 0.000, 0.000), Tb at (0.170, 0.330, 0.500) and Sm at (0.127, 0.627, 0.000).

The value obtained for the density of states at the Fermi level is 5.92 states/eV/f.u. The value obtained for the density is 7.27 Mg/m³. Its crystal system is tetragonal. The calculation puts the total magnetic moment at 0.000 μB per atom.

=====

Stability summary - winner: 2; margin: 50 meV/atom.

=====

1.
The following is a PBE calculation of a relaxed La2TbSm3 crystal, from the Alexandria database.

The structure belongs to space group Pnnm (No. 58); the cell edges are 7.121, 10.010 and 5.794 Å and the angles 90.00°, 90.00° and 90.00°. Symmetry generates all atoms from La at (0.249, 0.167, 0.000), Tb at (0.000, 0.000, 0.500), Sm at (0.000, 0.500, 0.000) and Sm at (0.250, 0.333, 0.500).

The value obtained for the density of states at the Fermi level is 9.61 states/eV/f.u. The value obtained for the density is 7.14 Mg/m³. Its crystal system is orthorhombic. The calculation puts the total magnetic moment at 0.000 μB per atom.

=====

2.
The following is a PBE calculation of a relaxed La2TbSm3 crystal, from the Alexandria database.

The structure belongs to space group C2/c (No. 15); the cell edges are 9.174, 10.036 and 9.197 Å and the angles 90.00°, 101.62° and 90.00°. Symmetry generates all atoms from La at (0.125, 0.248, 0.125), Tb at (0.000, 0.083, 0.750), Sm at (0.000, 0.417, 0.750) and Sm at (0.249, 0.417, 0.500).

The value obtained for the density of states at the Fermi level is 9.35 states/eV/f.u. The value obtained for the density is 7.11 Mg/m³. Its crystal system is monoclinic. The calculation puts the total magnetic moment at 0.000 μB per atom.

=====

Stability summary - winner: 2; margin: 8 meV/atom.

=====

1.
The following is a PBE calculation of a relaxed LaTbSmZn crystal, from the Alexandria database.

The structure belongs to space group P4mm (No. 99); the cell edges are 3.643, 3.643 and 8.820 Å and the angles 90.00°, 90.00° and 90.00°. Symmetry generates all atoms from La at (0.000, 0.000, 0.000), Tb at (0.500, 0.500, 0.296), Sm at (0.500, 0.500, 0.698) and Zn at (0.000, 0.000, 0.490).

The value obtained for the density of states at the Fermi level is 5.86 states/eV/f.u. The value obtained for the density is 7.29 Mg/m³. Its crystal system is tetragonal. The calculation puts the total magnetic moment at 0.000 μB per atom.

=====

2.
The following is a PBE calculation of a relaxed LaTbSmZn crystal, from the Alexandria database.

The structure belongs to space group F-43m (No. 216); the cell edges are 7.746, 7.746 and 7.746 Å and the angles 90.00°, 90.00° and 90.00°. Symmetry generates all atoms from La at (0.000, 0.000, 0.000), Tb at (0.250, 0.250, 0.250), Sm at (0.000, 0.000, 0.500) and Zn at (0.250, 0.250, 0.750).

The value obtained for the density of states at the Fermi level is 5.62 states/eV/f.u. The value obtained for the density is 7.34 Mg/m³. Its crystal system is cubic. The calculation puts the total magnetic moment at 0.001 μB per atom.

=====

Stability summary - winner: 1; margin: 183 meV/atom.

=====

1.
The following is a PBE calculation of a relaxed LaSm2Tc crystal, from the Alexandria database.

The structure belongs to space group R-3m (No. 166, hexagonal axes); the cell edges are 3.4988, 3.4988 and 33.3351 Å and the angles 90.00°, 90.00° and 120.00°. Symmetry generates all atoms from La at (0.0000, 0.0000, 0.0000), Sm at (0.0000, 0.0000, 0.1054) and Tc at (0.0000, 0.0000, 0.5000).

The value obtained for the density of states at the Fermi level is 6.30 states/eV/f.u. The value obtained for the density is 7.58 Mg/m³. Its crystal system is trigonal. The calculation puts the total magnetic moment at 0.000 μB per atom.

=====

2.
The following is a PBE calculation of a relaxed LaSm2Tc crystal, from the Alexandria database.

The structure belongs to space group P4/mmm (No. 123); the cell edges are 3.517, 3.517 and 9.319 Å and the angles 90.00°, 90.00° and 90.00°. Symmetry generates all atoms from La at (0.000, 0.000, 0.000), Sm at (0.500, 0.500, 0.319) and Tc at (0.000, 0.000, 0.500).

The value obtained for the density of states at the Fermi level is 6.51 states/eV/f.u. The value obtained for the density is 7.75 Mg/m³. Its crystal system is tetragonal. The calculation puts the total magnetic moment at 0.000 μB per atom.

=====

Stability summary - winner: 2; margin: 204 meV/atom.

=====

1.
The following is a PBE calculation of a relaxed LaSm2Tc crystal, from the Alexandria database.

The structure belongs to space group Pnma (No. 62); the cell edges are 7.414, 9.627 and 6.594 Å and the angles 90.00°, 90.00° and 90.00°. Symmetry generates all atoms from La at (0.058, 0.250, 0.131), Sm at (0.175, 0.067, 0.666) and Tc at (0.123, 0.750, 0.477).

The value obtained for the density of states at the Fermi level is 3.37 states/eV/f.u. The value obtained for the density is 7.59 Mg/m³. Its crystal system is orthorhombic. The calculation puts the total magnetic moment at 0.000 μB per atom.

=====

2.
The following is a PBE calculation of a relaxed LaSm2Tc crystal, from the Alexandria database.

The structure belongs to space group P2_1/m (No. 11); the cell edges are 4.010, 9.577 and 6.497 Å and the angles 90.00°, 107.97° and 90.00°. Symmetry generates all atoms from La at (0.080, 0.250, 0.161), Sm at (0.353, 0.073, 0.705) and Tc at (0.266, 0.750, 0.531).

The value obtained for the density of states at the Fermi level is 2.79 states/eV/f.u. The value obtained for the density is 7.52 Mg/m³. Its crystal system is monoclinic. The calculation puts the total magnetic moment at 0.000 μB per atom.

=====

Stability summary - winner: 1; margin: 15 meV/atom.

=====

1.
The following is a PBE calculation of a relaxed La3SmTc crystal, from the Alexandria database.

The structure belongs to space group P2/c (No. 13); the cell edges are 7.202, 6.971 and 13.116 Å and the angles 90.00°, 91.47° and 90.00°. Symmetry generates all atoms from La at (0.113, 0.250, 0.453), La at (0.250, 0.003, 0.216), La at (0.383, 0.260, 0.961), Sm at (0.240, 0.490, 0.715) and Tc at (0.069, 0.236, 0.865).

The value obtained for the density of states at the Fermi level is 6.44 states/eV/f.u. The value obtained for the density is 6.71 Mg/m³. Its crystal system is monoclinic. The calculation puts the total magnetic moment at 0.000 μB per atom.

=====

2.
The following is a PBE calculation of a relaxed La3SmTc crystal, from the Alexandria database.

The structure belongs to space group Pm-3m (No. 221); the cell edges are 5.563, 5.563 and 5.563 Å and the angles 90.00°, 90.00° and 90.00°. Symmetry generates all atoms from La at (0.000, 0.000, 0.500), Sm at (0.500, 0.500, 0.500) and Tc at (0.000, 0.000, 0.000).

The value obtained for the density of states at the Fermi level is 6.71 states/eV/f.u. The value obtained for the density is 6.42 Mg/m³. Its crystal system is cubic. The calculation puts the total magnetic moment at 0.000 μB per atom.

=====

Stability summary - winner: 1; margin: 78 meV/atom.

=====

1.
The following is a PBE calculation of a relaxed La2SmTe4 crystal, from the Alexandria database.

The structure belongs to space group Cmcm (No. 63); the cell edges are 4.373, 15.149 and 15.390 Å and the angles 90.00°, 90.00° and 90.00°. Symmetry generates all atoms from La at (0.000, 0.132, 0.072), Sm at (0.000, 0.372, 0.250), Te at (0.000, 0.023, 0.250), Te at (0.000, 0.219, 0.625) and Te at (0.000, 0.500, 0.000).

The value obtained for the density of states at the Fermi level is 2.71 states/eV/f.u. The value obtained for the density is 6.11 Mg/m³. Its crystal system is orthorhombic. The calculation puts the total magnetic moment at 0.000 μB per atom.

=====

2.
The following is a PBE calculation of a relaxed La2SmTe4 crystal, from the Alexandria database.

The structure belongs to space group Imma (No. 74); the cell edges are 9.031, 9.093 and 12.628 Å and the angles 90.00°, 90.00° and 90.00°. Symmetry generates all atoms from La at (0.000, 0.000, 0.000), La at (0.250, 0.250, 0.250), Sm at (0.250, 0.250, 0.750), Te at (0.000, 0.006, 0.741) and Te at (0.246, 0.250, 0.503).

The value obtained for the density of states at the Fermi level is 2.54 states/eV/f.u. The value obtained for the density is 6.01 Mg/m³. Its crystal system is orthorhombic. The calculation puts the total magnetic moment at 0.000 μB per atom.

=====

Stability summary - winner: 2; margin: 47 meV/atom.

=====

1.
The following is a PBE calculation of a relaxed LaSmTe crystal, from the Alexandria database.

The structure belongs to space group R-3m (No. 166, hexagonal axes); the cell edges are 4.2311, 4.2311 and 41.9616 Å and the angles 90.00°, 90.00° and 120.00°. Symmetry generates all atoms from La at (0.0000, 0.0000, 0.1285), Sm at (0.0000, 0.0000, 0.3681) and Te at (0.0000, 0.0000, 0.2534).

The value obtained for the density of states at the Fermi level is 2.80 states/eV/f.u. The value obtained for the density is 6.38 Mg/m³. Its crystal system is trigonal. The calculation puts the total magnetic moment at 0.016 μB per atom.

=====

2.
The following is a PBE calculation of a relaxed LaSmTe crystal, from the Alexandria database.

The structure belongs to space group P3m1 (No. 156); the cell edges are 5.3139, 5.3139 and 4.0653 Å and the angles 90.00°, 90.00° and 120.00°. Symmetry generates all atoms from La at (0.0000, 0.0000, 0.0000), Sm at (0.3333, 0.6667, 0.4927) and Te at (0.6667, 0.3333, 0.4147).

The value obtained for the density of states at the Fermi level is 4.83 states/eV/f.u. The value obtained for the density is 6.96 Mg/m³. Its crystal system is trigonal. The calculation puts the total magnetic moment at 0.000 μB per atom.

=====

3.
The following is a PBE calculation of a relaxed LaSmTe crystal, from the Alexandria database.

The structure belongs to space group C2/m (No. 12); the cell edges are 17.301, 4.123 and 11.390 Å and the angles 90.00°, 93.64° and 90.00°. Symmetry generates all atoms from La at (0.030, 0.000, 0.356), La at (0.110, 0.500, 0.851), Sm at (0.195, 0.000, 0.087), Sm at (0.250, 0.000, 0.650), Te at (0.077, 0.500, 0.161) and Te at (0.115, 0.500, 0.553).

The value obtained for the density of states at the Fermi level is 3.41 states/eV/f.u. The value obtained for the density is 6.83 Mg/m³. Its crystal system is monoclinic. The calculation puts the total magnetic moment at 0.001 μB per atom.

=====

Stability summary - winner: 3; margin: 18 meV/atom.

=====

1.
The following is a PBE calculation of a relaxed LaSm3Te4 crystal, from the Alexandria database.

The structure belongs to space group P6_3/mmc (No. 194); the cell edges are 4.4216, 4.4216 and 30.0372 Å and the angles 90.00°, 90.00° and 120.00°. Symmetry generates all atoms from La at (0.3333, 0.6667, 0.2500), Sm at (0.0000, 0.0000, 0.0000), Sm at (0.3333, 0.6667, 0.6221), Te at (0.0000, 0.0000, 0.1832) and Te at (0.3333, 0.6667, 0.0611).

The value obtained for the density of states at the Fermi level is 6.04 states/eV/f.u. The value obtained for the density is 7.19 Mg/m³. Its crystal system is hexagonal. The calculation puts the total magnetic moment at 0.000 μB per atom.

=====

2.
The following is a PBE calculation of a relaxed LaSm3Te4 crystal, from the Alexandria database.

The structure belongs to space group Cmmm (No. 65); the cell edges are 9.044, 12.671 and 4.436 Å and the angles 90.00°, 90.00° and 90.00°. Symmetry generates all atoms from La at (0.000, 0.000, 0.000), Sm at (0.000, 0.500, 0.000), Sm at (0.250, 0.250, 0.500), Te at (0.000, 0.253, 0.000) and Te at (0.244, 0.500, 0.500).

The value obtained for the density of states at the Fermi level is 5.55 states/eV/f.u. The value obtained for the density is 7.19 Mg/m³. Its crystal system is orthorhombic. The calculation puts the total magnetic moment at 0.000 μB per atom.

=====

Stability summary - winner: 2; margin: 10 meV/atom.

=====

1.
The following is a PBE calculation of a relaxed LaSmTe2 crystal, from the Alexandria database.

The structure belongs to space group P6_3/mmc (No. 194); the cell edges are 4.4224, 4.4224 and 15.3387 Å and the angles 90.00°, 90.00° and 120.00°. Symmetry generates all atoms from La at (0.3333, 0.6667, 0.2500), Sm at (0.0000, 0.0000, 0.0000) and Te at (0.3333, 0.6667, 0.6194).

The value obtained for the density of states at the Fermi level is 2.34 states/eV/f.u. The value obtained for the density is 6.96 Mg/m³. Its crystal system is hexagonal. The calculation puts the total magnetic moment at 0.000 μB per atom.

=====

2.
The following is a PBE calculation of a relaxed LaSmTe2 crystal, from the Alexandria database.

The structure belongs to space group R3m (No. 160, hexagonal axes); the cell edges are 4.3741, 4.3741 and 23.7151 Å and the angles 90.00°, 90.00° and 120.00°. Symmetry generates all atoms from La at (0.0000, 0.0000, 0.0000), Sm at (0.0000, 0.0000, 0.1756), Te at (0.0000, 0.0000, 0.4232) and Te at (0.0000, 0.0000, 0.5859).

The value obtained for the density of states at the Fermi level is 1.53 states/eV/f.u. The value obtained for the density is 6.90 Mg/m³. Its crystal system is trigonal. The calculation puts the total magnetic moment at 0.000 μB per atom.

=====

Stability summary - winner: 1; margin: 7 meV/atom.

=====

1.
The following is a PBE calculation of a relaxed LaSmTe2 crystal, from the Alexandria database.

The structure belongs to space group C2/m (No. 12); the cell edges are 7.834, 4.515 and 7.794 Å and the angles 90.00°, 109.49° and 90.00°. Symmetry generates all atoms from La at (0.000, 0.000, 0.000), Sm at (0.000, 0.500, 0.500) and Te at (0.247, 0.000, 0.741).

The value obtained for the density of states at the Fermi level is 2.46 states/eV/f.u. The value obtained for the density is 6.96 Mg/m³. Its crystal system is monoclinic. The calculation puts the total magnetic moment at 0.000 μB per atom.

=====

2.
The following is a PBE calculation of a relaxed LaSmTe2 crystal, from the Alexandria database.

The structure belongs to space group P4/mmm (No. 123); the cell edges are 5.499, 5.499 and 3.894 Å and the angles 90.00°, 90.00° and 90.00°. Symmetry generates all atoms from La at (0.000, 0.000, 0.000), Sm at (0.500, 0.500, 0.000) and Te at (0.000, 0.500, 0.500).

The value obtained for the density of states at the Fermi level is 3.48 states/eV/f.u. The value obtained for the density is 7.68 Mg/m³. Its crystal system is tetragonal. The calculation puts the total magnetic moment at 0.188 μB per atom.

=====

Stability summary - winner: 1; margin: 125 meV/atom.